First-principles (PBE-GGA) data for an optimized crystal structure of CsCaRu3, as listed in Alexandria.

Summary:
As for the relative energy among the computed polymorphs: 0 kJ/mol of formula units. The formation enthalpy at 0 K comes out at 2.176 eV per atom. The total moment is 5.4 μB per cell.

abc: 5.1570 5.1570 5.1570
angles: 90.00 90.00 90.00
Sites, in units of the cell vectors:
Cs 0.0000 0.0000 0.0000
Ca 0.5000 0.5000 0.5000
Ru 0.0000 0.5000 0.5000
Ru 0.5000 0.0000 0.5000
Ru 0.5000 0.5000 0.0000



First-principles (PBE-GGA) data for an optimized crystal structure of CsCa2Ru, as listed in Alexandria.

Summary:
As for the relative energy among the computed polymorphs: 0 kJ/mol of formula units. The formation enthalpy at 0 K comes out at 0.535 eV per atom. The total moment is 0.0 μB per cell.

abc: 8.2291 8.2291 8.2291
angles: 120.18 120.18 89.69
Sites, in units of the cell vectors:
Cs 0.0000 0.0000 0.0000
Cs 0.7500 0.2500 0.5000
Ca 0.3738 0.6250 0.2488
Ca 0.3750 0.6238 0.7488
Ca 0.3762 0.1250 0.7512
Ca 0.8750 0.6262 0.2512
Ru 0.2500 0.7500 0.5000
Ru 0.5000 0.5000 0.0000



First-principles (PBE-GGA) data for an optimized crystal structure of CsCa2Ru2, as listed in Alexandria.

Summary:
The formation enthalpy at 0 K comes out at 0.797 eV per atom. The total moment is 0.0 μB per cell.

abc: 9.2435 9.2435 3.0262
angles: 90.00 90.00 90.00
Sites, in units of the cell vectors:
Cs 0.0000 0.0000 0.0000
Cs 0.5000 0.5000 0.0000
Ca 0.1332 0.3668 0.0000
Ca 0.3668 0.8668 0.0000
Ca 0.6332 0.1332 0.0000
Ca 0.8668 0.6332 0.0000
Ru 0.1542 0.6542 0.5000
Ru 0.3458 0.1542 0.5000
Ru 0.6542 0.8458 0.5000
Ru 0.8458 0.3458 0.5000



First-principles (PBE-GGA) data for an optimized crystal structure of Cs2CaRu, as listed in Alexandria.

Summary:
The formation enthalpy at 0 K comes out at 1.310 eV per atom. The total moment is 0.5 μB per cell.

abc: 8.8163 8.8163 8.8163
angles: 120.21 120.21 89.64
Sites, in units of the cell vectors:
Cs 0.3750 0.1321 0.2571
Cs 0.8679 0.1250 0.2429
Cs 0.8750 0.1179 0.7429
Cs 0.8821 0.6250 0.7571
Ca 0.2500 0.7500 0.5000
Ca 0.5000 0.5000 0.0000
Ru 0.0000 0.0000 0.0000
Ru 0.7500 0.2500 0.5000



First-principles (PBE-GGA) data for an optimized crystal structure of Cs3CaRu, as listed in Alexandria.

Summary:
The formation enthalpy at 0 K comes out at 1.004 eV per atom. The total moment is 0.0 μB per cell.

abc: 6.3691 6.3691 6.3691
angles: 90.00 90.00 90.00
Sites, in units of the cell vectors:
Cs 0.0000 0.0000 0.5000
Cs 0.0000 0.5000 0.0000
Cs 0.5000 0.0000 0.0000
Ca 0.5000 0.5000 0.5000
Ru 0.0000 0.0000 0.0000



First-principles (PBE-GGA) data for an optimized crystal structure of CsCa2Ru, as listed in Alexandria.

Summary:
As for the relative energy among the computed polymorphs: 72 kJ/mol of formula units. The formation enthalpy at 0 K comes out at 0.723 eV per atom. The total moment is 0.0 μB per cell.

abc: 5.4713 5.4713 5.4713
angles: 60.00 60.00 60.00
Sites, in units of the cell vectors:
Cs 0.0000 0.0000 0.0000
Ca 0.2500 0.2500 0.2500
Ca 0.7500 0.7500 0.7500
Ru 0.5000 0.5000 0.5000



First-principles (PBE-GGA) data for an optimized crystal structure of CsCaRu3, as listed in Alexandria.

Summary:
As for the relative energy among the computed polymorphs: 15 kJ/mol of formula units. The formation enthalpy at 0 K comes out at 2.207 eV per atom. The total moment is 2.6 μB per cell.

abc: 4.9537 4.9537 4.9537
angles: 90.00 90.00 90.00
Sites, in units of the cell vectors:
Cs 0.0000 0.0000 0.0000
Ca 0.5000 0.5000 0.5000
Ru 0.0000 0.0000 0.5000
Ru 0.0000 0.5000 0.0000
Ru 0.5000 0.0000 0.0000



First-principles (PBE-GGA) data for an optimized crystal structure of CsCa3Ru, as listed in Alexandria.

Summary:
As for the relative energy among the computed polymorphs: 790 kJ/mol of formula units. The formation enthalpy at 0 K comes out at 1.872 eV per atom. The total moment is 0.0 μB per cell.

abc: 5.6271 5.6271 5.6271
angles: 90.00 90.00 90.00
Sites, in units of the cell vectors:
Cs 0.0000 0.0000 0.0000
Ca 0.0000 0.0000 0.5000
Ca 0.0000 0.5000 0.0000
Ca 0.5000 0.0000 0.0000
Ru 0.5000 0.5000 0.5000



First-principles (PBE-GGA) data for an optimized crystal structure of CsCa3Ru, as listed in Alexandria.

Summary:
As for the relative energy among the computed polymorphs: 0 kJ/mol of formula units. The formation enthalpy at 0 K comes out at 0.235 eV per atom. The total moment is 0.0 μB per cell.

abc: 5.7788 5.7788 5.7788
angles: 90.00 90.00 90.00
Sites, in units of the cell vectors:
Cs 0.0000 0.0000 0.0000
Ca 0.0000 0.5000 0.5000
Ca 0.5000 0.0000 0.5000
Ca 0.5000 0.5000 0.0000
Ru 0.5000 0.5000 0.5000



First-principles (PBE-GGA) data for an optimized crystal structure of CsCaSc2Ru, as listed in Alexandria.

Summary:
The formation enthalpy at 0 K comes out at 1.407 eV per atom. The total moment is 0.0 μB per cell.

abc: 5.8274 5.8274 4.8155
angles: 90.00 90.00 90.00
Sites, in units of the cell vectors:
Cs 0.0000 0.0000 0.0000
Ca 0.5000 0.5000 0.5000
Sc 0.0000 0.5000 0.5000
Sc 0.5000 0.0000 0.5000
Ru 0.5000 0.5000 0.0000



First-principles (PBE-GGA) data for an optimized crystal structure of Cs2CaS2, as listed in Alexandria.

Summary:
The total moment is 0.0 μB per cell. The calculation puts the uncorrected formation energy at -1.021 eV/atom.

abc: 8.1132 8.1132 5.3746
angles: 90.00 90.00 90.00
Sites, in units of the cell vectors:
Cs 0.1459 0.3541 0.0000
Cs 0.3541 0.8541 0.0000
Cs 0.6459 0.1459 0.0000
Cs 0.8541 0.6459 0.0000
Ca 0.0000 0.0000 0.5000
Ca 0.5000 0.5000 0.5000
S 0.1860 0.6860 0.5000
S 0.3140 0.1860 0.5000
S 0.6860 0.8140 0.5000
S 0.8140 0.3140 0.5000



First-principles (PBE-GGA) data for an optimized crystal structure of CsCaS3, as listed in Alexandria.

Summary:
As for the relative energy among the computed polymorphs: 443 kJ/mol of formula units. The total moment is 0.0 μB per cell. The calculation puts the uncorrected formation energy at 0.316 eV/atom.

abc: 5.4179 5.4179 5.4179
angles: 90.00 90.00 90.00
Sites, in units of the cell vectors:
Cs 0.0000 0.0000 0.0000
Ca 0.5000 0.5000 0.5000
S 0.0000 0.0000 0.5000
S 0.0000 0.5000 0.0000
S 0.5000 0.0000 0.0000